Record 1
DFT (meta-GGA SCAN) results for InCuW2 at its PBEsol-relaxed geometry.

Results
ΔE_f	2.2	eV per formula unit
mass density	14.32	g/cm³
total DFT energy (no corrections)	-46.445	eV/atom

Unit cell a=2.7255 b=5.2402 c=5.2402 alpha=119.02 beta=97.39 gamma=97.39
Last column: nearest neighbours and their distance in Å.
Fractional coordinates of all 4 atoms:
Cu 0.5000 0.5000 0.5000  2 In 2.66, 2 Cu 2.73, 4 W 2.79
In 0.5000 0.0000 0.0000  2 Cu 2.66, 2 In 2.73, 4 W 2.79
W 0.0000 0.5000 0.0000  4 W 2.66-2.73, 2 In 2.79, 2 Cu 2.79
W 0.0000 0.0000 0.5000  4 W 2.66-2.73, 2 Cu 2.79, 2 In 2.79

---

Record 2
DFT (meta-GGA SCAN) results for Rb3HSe2O8 at its PBEsol-relaxed geometry.

Results
mass density	3.77	g/cm³
total DFT energy (no corrections)	-12.522	eV/atom

Unit cell a=6.1152 b=8.3083 c=10.4136 alpha=102.31 beta=90.00 gamma=111.59
Last column: nearest neighbours and their distance in Å.
Fractional coordinates of all 28 atoms:
Rb 0.9202 0.3836 0.1515  9 O 2.89-3.19
Rb 0.5366 0.6164 0.3485  9 O 2.89-3.19
Rb 0.0798 0.6164 0.8485  9 O 2.89-3.19
Rb 0.4634 0.3836 0.6515  9 O 2.89-3.19
Rb 0.7563 0.0000 0.7500  6 O 2.84-3.01, 2 H 3.00
Rb 0.2437 0.0000 0.2500  6 O 2.84-3.01, 2 H 3.00
H 0.0000 0.0000 0.5000  2 O 1.22
H 0.0000 0.0000 0.0000  2 O 1.22
Se 0.3411 0.2340 0.9631  4 O 1.65-1.73
Se 0.1071 0.7660 0.5369  4 O 1.65-1.73
Se 0.6589 0.7660 0.0369  4 O 1.65-1.73
Se 0.8929 0.2340 0.4631  4 O 1.65-1.73
O 0.5820 0.2559 0.8859  1 Se 1.65
O 0.3261 0.7441 0.6141  1 Se 1.65
O 0.4180 0.7441 0.1141  1 Se 1.65
O 0.6739 0.2559 0.3859  1 Se 1.65
O 0.3979 0.3121 0.1248  1 Se 1.66
O 0.0858 0.6879 0.3752  1 Se 1.66
O 0.6021 0.6879 0.8752  1 Se 1.66
O 0.9142 0.3121 0.6248  1 Se 1.66
O 0.1481 0.3168 0.3999  1 Se 1.66
O 0.8313 0.6832 0.1001  1 Se 1.66
O 0.8519 0.6832 0.6001  1 Se 1.66
O 0.1687 0.3168 0.8999  1 Se 1.66
O 0.8340 0.0097 0.4414  1 H 1.22
O 0.8243 0.9903 0.0586  1 H 1.22
O 0.1660 0.9903 0.5586  1 H 1.22
O 0.1757 0.0097 0.9414  1 H 1.22

---

no.,D(E_F) (states/eV/f.u.)
1,2.29
2,0.00